# CaTc2Ag

A geometry-optimized CaTc2Ag structure (PBE, the Alexandria database).

Summary:
- Formation enthalpy at 0 K: 204 meV per atom
- Calculated volume: 76 Å³/cell
- Distance to the lowest polymorph of the same formula: 0.0000 eV per atom

Unit cell a=3.1199 b=3.1199 c=7.7718 alpha=90.00 beta=90.00 gamma=90.00
Fractional coordinates of all 4 atoms:
1 Tc 0.5000 0.5000 0.2158
2 Tc 0.0000 0.0000 0.0528
3 Ca 0.5000 0.5000 0.7644
4 Ag 0.0000 0.0000 0.4670


# CaTc2Ag

A geometry-optimized CaTc2Ag structure (PBE, the Alexandria database).

Summary:
- Formation enthalpy at 0 K: 548 meV per atom
- Calculated volume: 72 Å³/cell
- Distance to the lowest polymorph of the same formula: 0.3438 eV per atom

Unit cell a=5.1057 b=2.7818 c=5.1078 alpha=83.05 beta=90.00 gamma=90.00
Fractional coordinates of all 4 atoms:
1 Tc 0.0000 0.4159 0.5171
2 Tc 0.0000 0.0841 0.9829
3 Ca 0.5000 0.7500 0.7500
4 Ag 0.5000 0.2500 0.2500


# CaTcAg2

A geometry-optimized CaTcAg2 structure (PBE, the Alexandria database).

Summary:
- Formation enthalpy at 0 K: 466 meV per atom
- Calculated volume: 79 Å³/cell
- Distance to the lowest polymorph of the same formula: 0.0743 eV per atom

Unit cell a=5.3271 b=5.3271 c=5.3271 alpha=133.03 beta=133.03 gamma=68.60
Fractional coordinates of all 4 atoms:
1 Ca 0.5000 0.5000 0.0000
2 Ag 0.2500 0.7500 0.5000
3 Ag 0.0000 0.0000 0.0000
4 Tc 0.7500 0.2500 0.5000


# CaTcAg2

A geometry-optimized CaTcAg2 structure (PBE, the Alexandria database).

Summary:
- Formation enthalpy at 0 K: 468 meV per atom
- Calculated volume: 79 Å³/cell
- Distance to the lowest polymorph of the same formula: 0.0757 eV per atom

Unit cell a=6.1011 b=6.1011 c=6.1011 alpha=152.49 beta=130.91 gamma=57.19
Fractional coordinates of all 4 atoms:
1 Ag 0.0249 0.0249 0.0000
2 Ag 0.4751 0.4751 0.0000
3 Tc 0.2500 0.7500 0.5000
4 Ca 0.7500 0.2500 0.5000


# CaTc2Ag

A geometry-optimized CaTc2Ag structure (PBE, the Alexandria database).

Summary:
- Formation enthalpy at 0 K: 628 meV per atom
- Calculated volume: 73 Å³/cell
- Distance to the lowest polymorph of the same formula: 0.4232 eV per atom

Unit cell a=5.6143 b=5.6143 c=5.6143 alpha=139.98 beta=139.98 gamma=57.88
Fractional coordinates of all 4 atoms:
1 Tc 0.5000 0.5000 0.0000
2 Tc 0.0000 0.0000 0.0000
3 Ag 0.2500 0.7500 0.5000
4 Ca 0.7500 0.2500 0.5000


# CaTcAg2

A geometry-optimized CaTcAg2 structure (PBE, the Alexandria database).

Summary:
- Formation enthalpy at 0 K: 402 meV per atom
- Calculated volume: 75 Å³/cell
- Distance to the lowest polymorph of the same formula: 0.0097 eV per atom

Unit cell a=4.8728 b=2.9924 c=5.1609 alpha=89.97 beta=90.00 gamma=90.00
Fractional coordinates of all 4 atoms:
1 Tc 0.5000 0.6257 0.8223
2 Ag 0.5000 0.1247 0.2942
3 Ag 0.0000 0.1250 0.9370
4 Ca 0.0000 0.6246 0.4466


# CaTcAg

A geometry-optimized CaTcAg structure (PBE, the Alexandria database).

Summary:
- Formation enthalpy at 0 K: 1296 meV per atom
- Calculated volume: 76 Å³/cell
- Distance to the lowest polymorph of the same formula: 0.7662 eV per atom

Unit cell a=4.7454 b=4.7454 c=4.7454 alpha=60.00 beta=60.00 gamma=60.00
Fractional coordinates of all 3 atoms:
1 Tc 0.0000 0.0000 0.0000
2 Ca 0.7500 0.7500 0.7500
3 Ag 0.5000 0.5000 0.5000


# CaTc2Ag

A geometry-optimized CaTc2Ag structure (PBE, the Alexandria database).

Summary:
- Formation enthalpy at 0 K: 1042 meV per atom
- Calculated volume: 73 Å³/cell
- Distance to the lowest polymorph of the same formula: 0.8376 eV per atom

Unit cell a=4.6996 b=4.6996 c=4.6996 alpha=60.00 beta=60.00 gamma=60.00
Fractional coordinates of all 4 atoms:
1 Ag 0.5000 0.5000 0.5000
2 Tc 0.2500 0.2500 0.2500
3 Tc 0.7500 0.7500 0.7500
4 Ca 0.0000 0.0000 0.0000


# CaTc2Ag2

A geometry-optimized CaTc2Ag2 structure (PBE, the Alexandria database).

Summary:
- Formation enthalpy at 0 K: 365 meV per atom
- Calculated volume: 98 Å³/cell
- Distance to the lowest polymorph of the same formula: 0.0000 eV per atom

Unit cell a=3.6293 b=3.6293 c=7.8346 alpha=76.61 beta=76.61 gamma=90.00
Fractional coordinates of all 5 atoms:
1 Tc 0.7500 0.2500 0.5000
2 Tc 0.2500 0.7500 0.5000
3 Ca 0.0000 0.0000 0.0000
4 Ag 0.5998 0.5998 0.8004
5 Ag 0.4002 0.4002 0.1996


# CaTcAg

A geometry-optimized CaTcAg structure (PBE, the Alexandria database).

Summary:
- Formation enthalpy at 0 K: 890 meV per atom
- Calculated volume: 75 Å³/cell
- Distance to the lowest polymorph of the same formula: 0.3601 eV per atom

Unit cell a=4.7321 b=4.7321 c=4.7321 alpha=60.00 beta=60.00 gamma=60.00
Fractional coordinates of all 3 atoms:
1 Ca 0.0000 0.0000 0.0000
2 Tc 0.5000 0.5000 0.5000
3 Ag 0.7500 0.7500 0.7500


# CaTcAg2

A geometry-optimized CaTcAg2 structure (PBE, the Alexandria database).

Summary:
- Formation enthalpy at 0 K: 544 meV per atom
- Calculated volume: 76 Å³/cell
- Distance to the lowest polymorph of the same formula: 0.1517 eV per atom

Unit cell a=9.9003 b=9.9003 c=9.9003 alpha=17.44 beta=17.44 gamma=17.44
Fractional coordinates of all 4 atoms:
1 Tc 0.2534 0.2534 0.2534
2 Ag 0.9979 0.9979 0.9979
3 Ag 0.7460 0.7460 0.7460
4 Ca 0.5028 0.5028 0.5028


# CaTc2Ag

A geometry-optimized CaTc2Ag structure (PBE, the Alexandria database).

Summary:
- Formation enthalpy at 0 K: 459 meV per atom
- Calculated volume: 76 Å³/cell
- Distance to the lowest polymorph of the same formula: 0.2546 eV per atom

Unit cell a=5.0736 b=5.0736 c=5.0736 alpha=134.96 beta=122.71 gamma=75.70
Fractional coordinates of all 4 atoms:
1 Ca 0.2355 0.7355 0.5000
2 Tc 0.9659 0.9659 0.0000
3 Tc 0.7892 0.2892 0.5000
4 Ag 0.5093 0.5093 0.0000


# Ca2TcAg

A geometry-optimized Ca2TcAg structure (PBE, the Alexandria database).

Summary:
- Formation enthalpy at 0 K: 332 meV per atom
- Calculated volume: 91 Å³/cell
- Distance to the lowest polymorph of the same formula: 0.0000 eV per atom

Unit cell a=3.5198 b=3.0999 c=8.9096 alpha=69.62 beta=90.00 gamma=90.00
Fractional coordinates of all 4 atoms:
1 Ca 0.0000 0.9830 0.0165
2 Ca 0.0000 0.5170 0.4835
3 Ag 0.5000 0.7500 0.7500
4 Tc 0.5000 0.2500 0.2500


# CaTcAg

A geometry-optimized CaTcAg structure (PBE, the Alexandria database).

Summary:
- Formation enthalpy at 0 K: 586 meV per atom
- Calculated volume: 59 Å³/cell
- Distance to the lowest polymorph of the same formula: 0.0561 eV per atom

Unit cell a=4.9619 b=4.9619 c=2.7529 alpha=90.00 beta=90.00 gamma=120.00
Fractional coordinates of all 3 atoms:
1 Tc 0.3333 0.6667 0.8310
2 Ca 0.6667 0.3333 0.3329
3 Ag 0.0000 0.0000 0.8361


# CaTc2Ag

A geometry-optimized CaTc2Ag structure (PBE, the Alexandria database).

Summary:
- Formation enthalpy at 0 K: 666 meV per atom
- Calculated volume: 70 Å³/cell
- Distance to the lowest polymorph of the same formula: 0.4621 eV per atom

Unit cell a=2.6959 b=2.6959 c=9.5866 alpha=90.00 beta=90.00 gamma=90.04
Fractional coordinates of all 4 atoms:
1 Ag 0.5000 0.5000 0.2500
2 Tc 0.0000 0.0000 0.0137
3 Tc 0.0000 0.0000 0.4863
4 Ca 0.5000 0.5000 0.7500


# CaTcAg2

A geometry-optimized CaTcAg2 structure (PBE, the Alexandria database).

Summary:
- Formation enthalpy at 0 K: 406 meV per atom
- Calculated volume: 75 Å³/cell
- Distance to the lowest polymorph of the same formula: 0.0137 eV per atom

Unit cell a=5.2138 b=5.2138 c=5.3772 alpha=82.08 beta=82.08 gamma=31.33
Fractional coordinates of all 4 atoms:
1 Ca 0.5014 0.5014 0.5028
2 Tc 0.2561 0.2561 0.2261
3 Ag 0.9988 0.9988 0.0154
4 Ag 0.7437 0.7437 0.7560


# Ca2TcAg

A geometry-optimized Ca2TcAg structure (PBE, the Alexandria database).

Summary:
- Formation enthalpy at 0 K: 480 meV per atom
- Calculated volume: 92 Å³/cell
- Distance to the lowest polymorph of the same formula: 0.1477 eV per atom

Unit cell a=5.6962 b=5.6962 c=5.6962 alpha=134.71 beta=134.71 gamma=65.97
Fractional coordinates of all 4 atoms:
1 Ca 0.0000 0.0000 0.0000
2 Ca 0.2500 0.7500 0.5000
3 Ag 0.7500 0.2500 0.5000
4 Tc 0.5000 0.5000 0.0000


# Ca2TcAg

A geometry-optimized Ca2TcAg structure (PBE, the Alexandria database).

Summary:
- Formation enthalpy at 0 K: 526 meV per atom
- Calculated volume: 91 Å³/cell
- Distance to the lowest polymorph of the same formula: 0.1943 eV per atom

Unit cell a=5.0454 b=5.0454 c=5.0454 alpha=60.00 beta=60.00 gamma=60.00
Fractional coordinates of all 4 atoms:
1 Ca 0.0000 0.0000 0.0000
2 Ca 0.2500 0.2500 0.2500
3 Ag 0.5000 0.5000 0.5000
4 Tc 0.7500 0.7500 0.7500


# Ca2TcAg

A geometry-optimized Ca2TcAg structure (PBE, the Alexandria database).

Summary:
- Formation enthalpy at 0 K: 666 meV per atom
- Calculated volume: 196 Å³/cell
- Distance to the lowest polymorph of the same formula: 0.3338 eV per atom

Unit cell a=7.9454 b=7.9454 c=6.4184 alpha=51.76 beta=51.76 gamma=90.00
Fractional coordinates of all 8 atoms:
1 Ag 0.7500 0.2500 0.5000
2 Ag 0.0000 0.0000 0.0000
3 Ca 0.6249 0.1250 0.2500
4 Ca 0.8750 0.8749 0.7500
5 Ca 0.3750 0.3751 0.7500
6 Ca 0.1251 0.6250 0.2500
7 Tc 0.2500 0.7500 0.5000
8 Tc 0.5000 0.5000 0.0000


# CaTcAg2

A geometry-optimized CaTcAg2 structure (PBE, the Alexandria database).

Summary:
- Formation enthalpy at 0 K: 451 meV per atom
- Calculated volume: 81 Å³/cell
- Distance to the lowest polymorph of the same formula: 0.0585 eV per atom

Unit cell a=3.4770 b=3.4770 c=6.6705 alpha=90.00 beta=90.00 gamma=90.00
Fractional coordinates of all 4 atoms:
1 Ag 0.0000 0.0000 0.9951
2 Ag 0.5000 0.5000 0.2184
3 Ca 0.0000 0.0000 0.5053
4 Tc 0.5000 0.5000 0.7811


no.,magnetization (μB per formula unit)
1,0.00
2,0.00
3,2.51
4,0.00
5,0.00
6,0.00
7,2.92
8,3.70
9,0.00
10,3.01
11,0.01
12,0.00
13,0.00
14,0.00
15,0.00
16,0.00
17,1.68
18,1.70
19,1.92
20,2.02